Entry 1:
A plane-wave DFT calculation with PBE was carried out for a relaxed structure of CdCo.

The space group is P6_3/mmc (No. 194) and the conventional cell measures 7.6300, 7.6300 and 4.0707 Å, with angles of 90.00, 90.00 and 120.00 degrees. The distinct sites, in fractional coordinates, are Cd at (0.1765, 0.3530, 0.2500) and Co at (0.1233, 0.5617, 0.7500).

For the energy of formation from the pure elements, the calculation gives 0.58 eV/f.u. As for the uncorrected energy: -3.722 eV per atom.

---

Entry 2:
A plane-wave DFT calculation with PBE was carried out for a relaxed structure of Er2Cd2Pt3.

The space group is P-1 (No. 2) and the conventional cell measures 4.7977, 4.8035 and 7.8854 Å, with angles of 107.54, 90.02 and 119.68 degrees. The distinct sites, in fractional coordinates, are Er at (0.1151, 0.2315, 0.3455), Cd at (0.3708, 0.7426, 0.1085), Pt at (0.2451, 0.4859, 0.7335) and Pt at (0.5000, 0.0000, 0.5000).

For the energy of formation from the pure elements, the calculation gives -6.18 eV/f.u. As for the uncorrected energy: -5.037 eV per atom.

---

Entry 3:
A plane-wave DFT calculation with PBE was carried out for a relaxed structure of Pr2Y4Tm2Th.

The space group is C2/m (No. 12) and the conventional cell measures 18.7344, 3.6228 and 9.6318 Å, with angles of 90.00, 115.68 and 90.00 degrees. The distinct sites, in fractional coordinates, are Pr at (0.1487, 0.0000, 0.1686), Y at (0.0181, 0.5000, 0.8254), Y at (0.1830, 0.0000, 0.8312), Tm at (0.1650, 0.5000, 0.5053) and Th at (0.0000, 0.0000, 0.5000).

For the energy of formation from the pure elements, the calculation gives 0.11 eV/f.u. As for the uncorrected energy: -5.741 eV per atom.

---

Entry 4:
A plane-wave DFT calculation with PBE was carried out for a relaxed structure of SmHoLuTh.

The space group is F-43m (No. 216) and the conventional cell measures 7.9936, 7.9936 and 7.9936 Å, with angles of 90.00, 90.00 and 90.00 degrees. The distinct sites, in fractional coordinates, are Sm at (0.0000, 0.0000, 0.0000), Ho at (0.2500, 0.2500, 0.2500), Lu at (0.2500, 0.2500, 0.7500) and Th at (0.0000, 0.0000, 0.5000).

For the energy of formation from the pure elements, the calculation gives 0.49 eV/f.u. As for the uncorrected energy: -5.188 eV per atom.

---

Entry 5:
A plane-wave DFT calculation with PBE was carried out for a relaxed structure of Tb3Dy2Er7.

The space group is Cmmm (No. 65) and the conventional cell measures 5.6265, 37.4181 and 3.5556 Å, with angles of 90.00, 90.00 and 90.00 degrees. The distinct sites, in fractional coordinates, are Tb at (0.0000, 0.0000, 0.0000), Tb at (0.0000, 0.1850, 0.0000), Dy at (0.0000, 0.3529, 0.5000), Er at (0.0000, 0.0914, 0.5000), Er at (0.0000, 0.2694, 0.5000), Er at (0.0000, 0.4283, 0.0000) and Er at (0.0000, 0.5000, 0.5000).

For the energy of formation from the pure elements, the calculation gives 1.33 eV/f.u. As for the uncorrected energy: -4.476 eV per atom.

---

Entry 6:
A plane-wave DFT calculation with PBE was carried out for a relaxed structure of Ba2PAu.

The space group is Immm (No. 71) and the conventional cell measures 9.9597, 12.0102 and 13.6458 Å, with angles of 90.00, 90.00 and 90.00 degrees. The distinct sites, in fractional coordinates, are Ba at (0.0000, 0.2320, 0.0000), P at (0.0000, 0.0000, 0.0000) and Au at (0.0000, 0.5000, 0.0000).

For the energy of formation from the pure elements, the calculation gives 1.50 eV/f.u. As for the uncorrected energy: -2.759 eV per atom.

---

Entry 7:
A plane-wave DFT calculation with PBE was carried out for a relaxed structure of NiOsC2.

The space group is I-42d (No. 122) and the conventional cell measures 4.4679, 4.4679 and 9.0968 Å, with angles of 90.00, 90.00 and 90.00 degrees. The distinct sites, in fractional coordinates, are Ni at (0.0000, 0.0000, 0.0000), Os at (0.0000, 0.0000, 0.5000) and C at (0.2499, 0.2500, 0.1250).

For the energy of formation from the pure elements, the calculation gives 2.75 eV/f.u. As for the uncorrected energy: -8.178 eV per atom.

---

Entry 8:
A plane-wave DFT calculation with PBE was carried out for a relaxed structure of TaTcTe2I.

The space group is P4/mmm (No. 123) and the conventional cell measures 5.4268, 5.4268 and 5.5416 Å, with angles of 90.00, 90.00 and 90.00 degrees. The distinct sites, in fractional coordinates, are Ta at (0.0000, 0.0000, 0.0000), Tc at (0.5000, 0.5000, 0.5000), Te at (0.0000, 0.5000, 0.0000) and I at (0.0000, 0.0000, 0.5000).

As for the uncorrected energy: -4.931 eV per atom. The calculation puts the formation energy from raw total energies at 1.080 eV/atom.

---

Entry 9:
A plane-wave DFT calculation with PBE was carried out for a relaxed structure of AgPb.

The space group is Fm-3m (No. 225) and the conventional cell measures 5.9813, 5.9813 and 5.9813 Å, with angles of 90.00, 90.00 and 90.00 degrees. The distinct sites, in fractional coordinates, are Ag at (0.0000, 0.0000, 0.0000) and Pb at (0.0000, 0.0000, 0.5000).

For the energy of formation from the pure elements, the calculation gives 0.46 eV/f.u. As for the uncorrected energy: -3.048 eV per atom.

---

Entry 10:
A plane-wave DFT calculation with PBE was carried out for a relaxed structure of TaMnAu2.

The space group is R3m (No. 160, hexagonal axes) and the conventional cell measures 2.9648, 2.9648 and 27.3147 Å, with angles of 90.00, 90.00 and 120.00 degrees. The distinct sites, in fractional coordinates, are Ta at (0.0000, 0.0000, 0.0000), Mn at (0.0000, 0.0000, 0.2536), Au at (0.0000, 0.0000, 0.5082) and Au at (0.0000, 0.0000, 0.7518).

For the energy of formation from the pure elements, the calculation gives 0.44 eV/f.u. As for the uncorrected energy: -6.783 eV per atom.

---

Entry 11:
A plane-wave DFT calculation with PBE was carried out for a relaxed structure of CaCrGaIr2.

The space group is P4/mmm (No. 123) and the conventional cell measures 4.5084, 4.5084 and 5.1338 Å, with angles of 90.00, 90.00 and 90.00 degrees. The distinct sites, in fractional coordinates, are Ca at (0.0000, 0.0000, 0.0000), Cr at (0.0000, 0.0000, 0.5000), Ga at (0.5000, 0.5000, 0.0000) and Ir at (0.0000, 0.5000, 0.5000).

For the energy of formation from the pure elements, the calculation gives 3.84 eV/f.u. As for the uncorrected energy: -5.708 eV per atom.

---

Entry 12:
A plane-wave DFT calculation with PBE was carried out for a relaxed structure of Rb3Tl7Bi4.

The space group is C2/m (No. 12) and the conventional cell measures 19.9060, 5.2565 and 12.0675 Å, with angles of 90.00, 123.74 and 90.00 degrees. The distinct sites, in fractional coordinates, are Rb at (0.0000, 0.0000, 0.0000), Rb at (0.1977, 0.5000, 0.6989), Tl at (0.0000, 0.0000, 0.5000), Tl at (0.0014, 0.5000, 0.3071), Tl at (0.1572, 0.0000, 0.4458), Tl at (0.1821, 0.5000, 0.0353), Bi at (0.1206, 0.0000, 0.8397) and Bi at (0.1524, 0.5000, 0.2796).

For the energy of formation from the pure elements, the calculation gives -2.53 eV/f.u. As for the uncorrected energy: -2.680 eV per atom.